Record 1
The following is a GGA-PBE calculation of a relaxed structure of Pr2Dy12Tm, from Alexandria. Values from VASP.

Geometry as Quantum ESPRESSO input:
```
&SYSTEM
  ibrav = 0, nat = 30, ntyp = 3
/
ATOMIC_SPECIES
Pr 140.91 Pr.upf
Dy 162.50 Dy.upf
Tm 168.93 Tm.upf
CELL_PARAMETERS angstrom
3.535 -5.658 0.000
3.535 5.658 0.000
0.000 0.000 24.743
ATOMIC_POSITIONS crystal
Pr 0.250 0.750 0.236
Pr 0.250 0.750 0.770
Pr 0.750 0.250 0.230
Pr 0.750 0.250 0.764
Dy 0.000 0.000 0.424
Dy 0.000 0.000 0.576
Dy 0.001 0.501 0.624
Dy 0.012 0.512 0.084
Dy 0.014 0.986 0.939
Dy 0.250 0.250 0.173
Dy 0.250 0.250 0.302
Dy 0.250 0.250 0.698
Dy 0.250 0.250 0.827
Dy 0.486 0.514 0.939
Dy 0.488 0.988 0.084
Dy 0.499 0.999 0.624
Dy 0.500 0.500 0.424
Dy 0.500 0.500 0.576
Dy 0.501 0.001 0.376
Dy 0.512 0.012 0.916
Dy 0.514 0.486 0.061
Dy 0.750 0.750 0.173
Dy 0.750 0.750 0.302
Dy 0.750 0.750 0.698
Dy 0.750 0.750 0.827
Dy 0.986 0.014 0.061
Dy 0.988 0.488 0.916
Dy 0.999 0.499 0.376
Tm 0.250 0.750 0.500
Tm 0.750 0.250 0.500
```

Output
Formation energy from the elements: 0.162 eV/atom

Record 2
The following is a GGA-PBE calculation of a relaxed structure of PrSm5Al2, from Alexandria. Values from VASP.

Geometry as Quantum ESPRESSO input:
```
&SYSTEM
  ibrav = 0, nat = 8, ntyp = 3
/
ATOMIC_SPECIES
Pr 140.91 Pr.upf
Sm 150.36 Sm.upf
Al 26.98 Al.upf
CELL_PARAMETERS angstrom
-1.845 5.252 6.230
1.845 -5.252 6.230
1.845 5.252 -6.230
ATOMIC_POSITIONS crystal
Pr 0.000 0.000 0.000
Sm 0.140 0.359 0.781
Sm 0.421 0.641 0.781
Sm 0.500 0.000 0.500
Sm 0.579 0.359 0.219
Sm 0.860 0.641 0.219
Al 0.232 0.732 0.500
Al 0.768 0.268 0.500
```

Output
Formation energy from the elements: -0.078 eV/atom

Record 3
The following is a GGA-PBE calculation of a relaxed structure of CeDy3C2, from Alexandria. Values from VASP.

Geometry as Quantum ESPRESSO input:
```
&SYSTEM
  ibrav = 0, nat = 12, ntyp = 3
/
ATOMIC_SPECIES
Ce 140.12 Ce.upf
Dy 162.50 Dy.upf
C 12.01 C.upf
CELL_PARAMETERS angstrom
8.153 -1.787 0.000
8.153 1.787 0.000
-8.037 0.000 9.466
ATOMIC_POSITIONS crystal
Ce 0.140 0.140 0.198
Ce 0.860 0.860 0.802
Dy 0.137 0.137 0.697
Dy 0.358 0.358 0.048
Dy 0.360 0.360 0.553
Dy 0.640 0.640 0.447
Dy 0.642 0.642 0.952
Dy 0.863 0.863 0.303
C 0.249 0.249 0.626
C 0.253 0.253 0.128
C 0.747 0.747 0.872
C 0.751 0.751 0.374
```

Output
Formation energy from the elements: -0.234 eV/atom

Record 4
The following is a GGA-PBE calculation of a relaxed structure of BaTlZn2Ni, from Alexandria. Values from VASP.

Geometry as Quantum ESPRESSO input:
```
&SYSTEM
  ibrav = 0, nat = 5, ntyp = 4
/
ATOMIC_SPECIES
Ba 137.33 Ba.upf
Tl 204.38 Tl.upf
Zn 65.41 Zn.upf
Ni 58.69 Ni.upf
CELL_PARAMETERS angstrom
4.887 0.000 0.000
0.000 4.887 0.000
0.000 0.000 5.067
ATOMIC_POSITIONS crystal
Ba 0.000 0.000 0.000
Tl 0.500 0.500 0.000
Zn 0.000 0.500 0.500
Zn 0.500 0.000 0.500
Ni 0.500 0.500 0.500
```

Output
Formation energy from the elements: -0.147 eV/atom
Energy relative to the lowest polymorph listed for this composition: 0 meV per atom

Record 5
The following is a GGA-PBE calculation of a relaxed structure of BaBe2Ru, from Alexandria. Values from VASP.

Geometry as Quantum ESPRESSO input:
```
&SYSTEM
  ibrav = 0, nat = 4, ntyp = 3
/
ATOMIC_SPECIES
Ba 137.33 Ba.upf
Be 9.01 Be.upf
Ru 101.07 Ru.upf
CELL_PARAMETERS angstrom
-2.108 2.108 3.897
2.108 -2.108 3.897
2.108 2.108 -3.897
ATOMIC_POSITIONS crystal
Ba 0.000 0.000 0.000
Be 0.250 0.750 0.500
Be 0.750 0.250 0.500
Ru 0.500 0.500 0.000
```

Output
Formation energy from the elements: 0.900 eV/atom
Energy relative to the lowest polymorph listed for this composition: 861 meV per atom

Record 6
The following is a GGA-PBE calculation of a relaxed structure of Li3Ac2Tl4, from Alexandria. Values from VASP.

Geometry as Quantum ESPRESSO input:
```
&SYSTEM
  ibrav = 0, nat = 18, ntyp = 3
/
ATOMIC_SPECIES
Li 6.94 Li.upf
Ac 227.00 Ac.upf
Tl 204.38 Tl.upf
CELL_PARAMETERS angstrom
3.396 -8.521 0.000
3.396 8.521 0.000
0.000 0.000 8.442
ATOMIC_POSITIONS crystal
Li 0.000 0.000 0.000
Li 0.027 0.473 0.250
Li 0.473 0.027 0.750
Li 0.500 0.500 0.500
Li 0.527 0.973 0.250
Li 0.973 0.527 0.750
Ac 0.117 0.883 0.416
Ac 0.383 0.617 0.916
Ac 0.617 0.383 0.084
Ac 0.883 0.117 0.584
Tl 0.174 0.826 0.013
Tl 0.200 0.300 0.250
Tl 0.300 0.200 0.750
Tl 0.326 0.674 0.513
Tl 0.674 0.326 0.487
Tl 0.700 0.800 0.250
Tl 0.800 0.700 0.750
Tl 0.826 0.174 0.987
```

Output
Formation energy from the elements: -0.279 eV/atom

Record 7
The following is a GGA-PBE calculation of a relaxed structure of La6Se5Cl, from Alexandria. Values from VASP.

Geometry as Quantum ESPRESSO input:
```
&SYSTEM
  ibrav = 0, nat = 12, ntyp = 3
/
ATOMIC_SPECIES
La 138.91 La.upf
Se 78.96 Se.upf
Cl 35.45 Cl.upf
CELL_PARAMETERS angstrom
3.715 -6.447 0.000
3.715 6.447 0.000
-2.489 0.000 7.018
ATOMIC_POSITIONS crystal
La 0.077 0.415 0.746
La 0.246 0.246 0.253
La 0.415 0.077 0.746
La 0.585 0.923 0.254
La 0.754 0.754 0.747
La 0.923 0.585 0.254
Se 0.000 0.000 0.500
Se 0.167 0.833 0.000
Se 0.334 0.666 0.500
Se 0.666 0.334 0.500
Se 0.833 0.167 0.000
Cl 0.500 0.500 0.000
```

Output
Formation energy without anion corrections: -1930 meV/atom

Record 8
The following is a GGA-PBE calculation of a relaxed structure of Sc2MoBr, from Alexandria. Values from VASP.

Geometry as Quantum ESPRESSO input:
```
&SYSTEM
  ibrav = 0, nat = 4, ntyp = 3
/
ATOMIC_SPECIES
Sc 44.96 Sc.upf
Mo 95.94 Mo.upf
Br 79.90 Br.upf
CELL_PARAMETERS angstrom
1.705 0.984 8.328
-1.705 0.984 8.328
0.000 -1.969 8.328
ATOMIC_POSITIONS crystal
Sc 0.244 0.244 0.244
Sc 0.756 0.756 0.756
Mo 0.500 0.500 0.500
Br 0.000 0.000 0.000
```

Output
Energy relative to the lowest polymorph listed for this composition: 51 meV per atom
Formation energy without anion corrections: -317 meV/atom

Record 9
The following is a GGA-PBE calculation of a relaxed structure of Pm3CCl3, from Alexandria. Values from VASP.

Geometry as Quantum ESPRESSO input:
```
&SYSTEM
  ibrav = 0, nat = 28, ntyp = 3
/
ATOMIC_SPECIES
Pm 145.00 Pm.upf
C 12.01 C.upf
Cl 35.45 Cl.upf
CELL_PARAMETERS angstrom
-5.523 5.523 5.523
5.523 -5.523 5.523
5.523 5.523 -5.523
ATOMIC_POSITIONS crystal
Pm 0.017 0.034 0.267
Pm 0.017 0.483 0.750
Pm 0.034 0.267 0.017
Pm 0.233 0.267 0.750
Pm 0.233 0.466 0.483
Pm 0.267 0.017 0.034
Pm 0.267 0.750 0.233
Pm 0.466 0.483 0.233
Pm 0.483 0.233 0.466
Pm 0.483 0.750 0.017
Pm 0.750 0.017 0.483
Pm 0.750 0.233 0.267
C 0.000 0.250 0.500
C 0.250 0.250 0.250
C 0.250 0.500 0.000
C 0.500 0.000 0.250
Cl 0.250 0.756 0.744
Cl 0.250 0.994 0.506
Cl 0.506 0.250 0.994
Cl 0.506 0.756 0.512
Cl 0.512 0.506 0.756
Cl 0.744 0.250 0.756
Cl 0.744 0.994 0.988
Cl 0.756 0.512 0.506
Cl 0.756 0.744 0.250
Cl 0.988 0.744 0.994
Cl 0.994 0.506 0.250
Cl 0.994 0.988 0.744
```

Output
Energy relative to the lowest polymorph listed for this composition: 0 meV per atom
Formation energy without anion corrections: -1534 meV/atom

Record 10
The following is a GGA-PBE calculation of a relaxed structure of AsRh2W, from Alexandria. Values from VASP.

Geometry as Quantum ESPRESSO input:
```
&SYSTEM
  ibrav = 0, nat = 4, ntyp = 3
/
ATOMIC_SPECIES
As 74.92 As.upf
Rh 102.91 Rh.upf
W 183.84 W.upf
CELL_PARAMETERS angstrom
-1.933 1.933 3.974
1.933 -1.933 3.974
1.933 1.933 -3.974
ATOMIC_POSITIONS crystal
As 0.000 0.000 0.000
Rh 0.250 0.750 0.500
Rh 0.750 0.250 0.500
W 0.500 0.500 0.000
```

Output
Formation energy from the elements: -0.003 eV/atom

Record 11
The following is a GGA-PBE calculation of a relaxed structure of Pm12Ir2Pb5, from Alexandria. Values from VASP.

Geometry as Quantum ESPRESSO input:
```
&SYSTEM
  ibrav = 0, nat = 19, ntyp = 3
/
ATOMIC_SPECIES
Pm 145.00 Pm.upf
Ir 192.22 Ir.upf
Pb 207.20 Pb.upf
CELL_PARAMETERS angstrom
8.948 -3.887 0.000
8.948 3.887 0.000
-2.720 0.000 9.611
ATOMIC_POSITIONS crystal
Pm 0.003 0.003 0.241
Pm 0.080 0.601 0.918
Pm 0.103 0.600 0.427
Pm 0.399 0.920 0.082
Pm 0.400 0.897 0.573
Pm 0.496 0.496 0.172
Pm 0.504 0.504 0.828
Pm 0.600 0.103 0.427
Pm 0.601 0.080 0.918
Pm 0.897 0.400 0.573
Pm 0.920 0.399 0.082
Pm 0.997 0.997 0.759
Ir 0.206 0.794 0.000
Ir 0.794 0.206 0.000
Pb 0.191 0.191 0.833
Pb 0.199 0.199 0.361
Pb 0.500 0.500 0.500
Pb 0.801 0.801 0.639
Pb 0.809 0.809 0.167
```

Output
Formation energy from the elements: -0.369 eV/atom

Record 12
The following is a GGA-PBE calculation of a relaxed structure of La2TmSn, from Alexandria. Values from VASP.

Geometry as Quantum ESPRESSO input:
```
&SYSTEM
  ibrav = 0, nat = 8, ntyp = 3
/
ATOMIC_SPECIES
La 138.91 La.upf
Tm 168.93 Tm.upf
Sn 118.71 Sn.upf
CELL_PARAMETERS angstrom
4.659 0.000 0.000
0.000 4.589 0.000
-2.300 0.000 11.796
ATOMIC_POSITIONS crystal
La 0.037 0.250 0.130
La 0.415 0.250 0.856
La 0.585 0.750 0.144
La 0.963 0.750 0.870
Tm 0.306 0.750 0.606
Tm 0.694 0.250 0.394
Sn 0.175 0.750 0.346
Sn 0.825 0.250 0.654
```

Output
Formation energy from the elements: -0.337 eV/atom
Energy relative to the lowest polymorph listed for this composition: 103 meV per atom

Record 13
The following is a GGA-PBE calculation of a relaxed structure of SbTe2WI, from Alexandria. Values from VASP.

Geometry as Quantum ESPRESSO input:
```
&SYSTEM
  ibrav = 0, nat = 5, ntyp = 4
/
ATOMIC_SPECIES
Sb 121.76 Sb.upf
Te 127.60 Te.upf
W 183.84 W.upf
I 126.90 I.upf
CELL_PARAMETERS angstrom
5.810 0.000 0.000
0.000 5.810 0.000
0.000 0.000 5.696
ATOMIC_POSITIONS crystal
Sb 0.000 0.000 0.000
Te 0.000 0.500 0.000
Te 0.500 0.000 0.000
W 0.500 0.500 0.500
I 0.000 0.000 0.500
```

Output
Energy relative to the lowest polymorph listed for this composition: 1125 meV per atom
Formation energy without anion corrections: 1550 meV/atom

| no. | D(E_F) (states/eV/atom) |
| --- | --- |
| 1 | 1.5447 |
| 2 | 1.4086 |
| 3 | 1.0700 |
| 4 | 0.7334 |
| 5 | 0.6646 |
| 6 | 0.7305 |
| 7 | 0.6011 |
| 8 | 0.9952 |
| 9 | 0.3297 |
| 10 | 0.8571 |
| 11 | 1.0414 |
| 12 | 1.1187 |
| 13 | 0.9362 |